The following is a DFT calculation (PBE-GGA) of a relaxed LaYTe2 crystal.

Results
**Space group**: No. 44

Cell: 7.9116 7.9116 7.9116 Å, 149.55 149.16 43.89°
Positions (direct):
La 0.0000 0.0000 0.0000
Y 0.7523 0.2523 0.5000
Te 0.3298 0.8298 0.5000
Te 0.5924 0.5924 0.0000


The following is a DFT calculation (PBE-GGA) of a relaxed LaY2Te crystal.

Results
**Space group**: No. 47

Cell: 3.8961 5.4587 5.7363 Å, 90.00 90.00 90.00°
Positions (direct):
La 0.0000 0.0000 0.0000
Y 0.0000 0.5000 0.5000
Y 0.5000 0.5000 0.0000
Te 0.5000 0.0000 0.5000


The following is a DFT calculation (PBE-GGA) of a relaxed LaY2Te crystal.

Results
**Space group**: No. 99

Cell: 3.9473 3.9473 8.1257 Å, 90.00 90.00 90.00°
Positions (direct):
La 0.0000 0.0000 0.0000
Y 0.0000 0.0000 0.4439
Y 0.5000 0.5000 0.7004
Te 0.5000 0.5000 0.2550


The following is a DFT calculation (PBE-GGA) of a relaxed LaY2Te crystal.

Results
**Space group**: No. 6

Cell: 4.0444 5.1082 6.4320 Å, 90.00 108.05 90.00°
Positions (direct):
La 0.0000 0.0000 0.0000
Y 0.2983 0.5000 0.6050
Y 0.7223 0.0000 0.4541
Te 0.5767 0.5000 0.1562


In eV/atom, the energy relative to the elements, uncorrected values for the records above are, in order, -1.39 -0.48 -0.60 -0.60.